1.
VASP calculation (PBE-GGA) on a geometry-optimized Nd5Ho4Tm3 structure.

Cell lengths 5.6937, 5.6937, 14.8894 Å; angles 106.30, 106.30, 61.16 degrees
Fractional positions:
Nd (0.0000, 0.0000, 0.0000)
Nd (0.3326, 0.3326, 0.5016)
Nd (0.4554, 0.4554, 0.7558)
Nd (0.5446, 0.5446, 0.2442)
Nd (0.6674, 0.6674, 0.4984)
Ho (0.0620, 0.0620, 0.6250)
Ho (0.1780, 0.1780, 0.8587)
Ho (0.8220, 0.8220, 0.1413)
Ho (0.9380, 0.9380, 0.3750)
Tm (0.2050, 0.2050, 0.2490)
Tm (0.5000, 0.5000, 0.0000)
Tm (0.7950, 0.7950, 0.7510)

Properties
As for the symmetry: No. 12. The value obtained for the density of states at the Fermi level is 18.97 states/eV per cell. The value obtained for the total magnetic moment is 0.000 μB per atom.


2.
VASP calculation (PBE-GGA) on a geometry-optimized NdHo6Tm12 structure.

Cell lengths 8.4335, 8.4335, 8.4335 Å; angles 88.28, 88.28, 88.28 degrees
Fractional positions:
Nd (0.0000, 0.0000, 0.0000)
Ho (0.0892, 0.6823, 0.2547)
Ho (0.2547, 0.0892, 0.6823)
Ho (0.3177, 0.7453, 0.9108)
Ho (0.6823, 0.2547, 0.0892)
Ho (0.7453, 0.9108, 0.3177)
Ho (0.9108, 0.3177, 0.7453)
Tm (0.0063, 0.2172, 0.3528)
Tm (0.2172, 0.3528, 0.0063)
Tm (0.2291, 0.4538, 0.5634)
Tm (0.3528, 0.0063, 0.2172)
Tm (0.4366, 0.7709, 0.5462)
Tm (0.4538, 0.5634, 0.2291)
Tm (0.5462, 0.4366, 0.7709)
Tm (0.5634, 0.2291, 0.4538)
Tm (0.6472, 0.9937, 0.7828)
Tm (0.7709, 0.5462, 0.4366)
Tm (0.7828, 0.6472, 0.9937)
Tm (0.9937, 0.7828, 0.6472)

Properties
As for the symmetry: No. 148. As for the energy relative to the lowest polymorph listed for this composition: 0 meV/atom. The value obtained for the density of states at the Fermi level is 29.68 states/eV per cell. The value obtained for the total magnetic moment is 0.000 μB per atom.


3.
VASP calculation (PBE-GGA) on a geometry-optimized Nd6Ho3Tm2 structure.

Cell lengths 17.2409, 17.2409, 17.2409 Å; angles 164.15, 164.15, 22.49 degrees
Fractional positions:
Nd (0.1195, 0.6195, 0.5000)
Nd (0.2045, 0.2045, 0.0000)
Nd (0.3805, 0.8805, 0.5000)
Nd (0.6195, 0.1195, 0.5000)
Nd (0.7955, 0.7955, 0.0000)
Nd (0.8805, 0.3805, 0.5000)
Ho (0.3057, 0.3057, 0.0000)
Ho (0.5000, 0.5000, 0.0000)
Ho (0.6943, 0.6943, 0.0000)
Tm (0.0450, 0.0450, 0.0000)
Tm (0.9550, 0.9550, 0.0000)

Properties
As for the symmetry: No. 139. As for the energy relative to the lowest polymorph listed for this composition: 226 meV/atom. The value obtained for the density of states at the Fermi level is 16.33 states/eV per cell. The value obtained for the total magnetic moment is 0.000 μB per atom.


4.
VASP calculation (PBE-GGA) on a geometry-optimized NdHo6Tm12 structure.

Cell lengths 9.1600, 9.1600, 9.1600 Å; angles 106.98, 106.98, 106.98 degrees
Fractional positions:
Nd (0.0000, 0.0000, 0.0000)
Ho (0.2832, 0.6885, 0.6885)
Ho (0.3115, 0.3115, 0.7168)
Ho (0.3115, 0.7168, 0.3115)
Ho (0.6885, 0.2832, 0.6885)
Ho (0.6885, 0.6885, 0.2832)
Ho (0.7168, 0.3115, 0.3115)
Tm (0.1120, 0.5000, 0.8880)
Tm (0.1120, 0.8880, 0.5000)
Tm (0.1174, 0.3474, 0.3474)
Tm (0.3474, 0.1174, 0.3474)
Tm (0.3474, 0.3474, 0.1174)
Tm (0.5000, 0.1120, 0.8880)
Tm (0.5000, 0.8880, 0.1120)
Tm (0.6526, 0.6526, 0.8826)
Tm (0.6526, 0.8826, 0.6526)
Tm (0.8826, 0.6526, 0.6526)
Tm (0.8880, 0.1120, 0.5000)
Tm (0.8880, 0.5000, 0.1120)

Properties
As for the symmetry: No. 166. As for the energy relative to the lowest polymorph listed for this composition: 281 meV/atom. The value obtained for the density of states at the Fermi level is 29.84 states/eV per cell. The value obtained for the total magnetic moment is 0.001 μB per atom.


5.
VASP calculation (PBE-GGA) on a geometry-optimized NdHo3Tm12 structure.

Cell lengths 4.9568, 4.9568, 19.8356 Å; angles 90.00, 90.00, 90.00 degrees
Fractional positions:
Nd (0.0000, 0.0000, 0.0000)
Ho (0.0000, 0.0000, 0.2511)
Ho (0.0000, 0.0000, 0.5000)
Ho (0.0000, 0.0000, 0.7489)
Tm (0.0000, 0.5000, 0.1270)
Tm (0.0000, 0.5000, 0.3757)
Tm (0.0000, 0.5000, 0.6243)
Tm (0.0000, 0.5000, 0.8730)
Tm (0.5000, 0.0000, 0.1270)
Tm (0.5000, 0.0000, 0.3757)
Tm (0.5000, 0.0000, 0.6243)
Tm (0.5000, 0.0000, 0.8730)
Tm (0.5000, 0.5000, 0.0000)
Tm (0.5000, 0.5000, 0.2516)
Tm (0.5000, 0.5000, 0.5000)
Tm (0.5000, 0.5000, 0.7484)

Properties
As for the symmetry: No. 123. The value obtained for the density of states at the Fermi level is 21.77 states/eV per cell. The value obtained for the total magnetic moment is 0.000 μB per atom.


6.
VASP calculation (PBE-GGA) on a geometry-optimized Nd3Ho3Tm2 structure.

Cell lengths 10.7176, 10.7176, 10.7176 Å; angles 152.74, 152.69, 38.97 degrees
Fractional positions:
Nd (0.0000, 0.0000, 0.0000)
Nd (0.3740, 0.8740, 0.5000)
Nd (0.6260, 0.1260, 0.5000)
Ho (0.1272, 0.6272, 0.5000)
Ho (0.5000, 0.5000, 0.0000)
Ho (0.8728, 0.3728, 0.5000)
Tm (0.2494, 0.2494, 0.0000)
Tm (0.7506, 0.7506, 0.0000)

Properties
As for the symmetry: No. 71. As for the energy relative to the lowest polymorph listed for this composition: 0 meV/atom. The value obtained for the density of states at the Fermi level is 12.13 states/eV per cell. The value obtained for the total magnetic moment is 0.000 μB per atom.


7.
VASP calculation (PBE-GGA) on a geometry-optimized NdHo5Tm structure.

Cell lengths 7.8848, 7.8848, 7.8848 Å; angles 137.24, 113.98, 81.91 degrees
Fractional positions:
Nd (0.0000, 0.0000, 0.0000)
Ho (0.0000, 0.5000, 0.5000)
Ho (0.2446, 0.2446, 0.0000)
Ho (0.3231, 0.0000, 0.3231)
Ho (0.6769, 0.0000, 0.6769)
Ho (0.7554, 0.7554, 0.0000)
Tm (0.5000, 0.5000, 0.0000)

Properties
As for the symmetry: No. 71. As for the energy relative to the lowest polymorph listed for this composition: 1039 meV/atom. The value obtained for the density of states at the Fermi level is 7.73 states/eV per cell. The value obtained for the total magnetic moment is 0.000 μB per atom.


8.
VASP calculation (PBE-GGA) on a geometry-optimized Nd12Ho2Tm5 structure.

Cell lengths 9.5616, 9.5616, 12.1849 Å; angles 127.73, 127.73, 51.57 degrees
Fractional positions:
Nd (0.0351, 0.6216, 0.9118)
Nd (0.1261, 0.7127, 0.7252)
Nd (0.2307, 0.2307, 0.6288)
Nd (0.2873, 0.8739, 0.2748)
Nd (0.3352, 0.3352, 0.4452)
Nd (0.3784, 0.9649, 0.0882)
Nd (0.6216, 0.0351, 0.9118)
Nd (0.6648, 0.6648, 0.5548)
Nd (0.7127, 0.1261, 0.7252)
Nd (0.7693, 0.7693, 0.3712)
Nd (0.8739, 0.2873, 0.2748)
Nd (0.9649, 0.3784, 0.0882)
Ho (0.2104, 0.7896, 0.5000)
Ho (0.7896, 0.2104, 0.5000)
Tm (0.1460, 0.1460, 0.8234)
Tm (0.3963, 0.3963, 0.1959)
Tm (0.5000, 0.5000, 0.0000)
Tm (0.6037, 0.6037, 0.8041)
Tm (0.8540, 0.8540, 0.1766)

Properties
As for the symmetry: No. 12. As for the energy relative to the lowest polymorph listed for this composition: 0 meV/atom. The value obtained for the density of states at the Fermi level is 26.63 states/eV per cell. The value obtained for the total magnetic moment is 0.000 μB per atom.


Number 1: electronic total energy -4.3982 eV/atom, formation energy from the elements 0.232 eV per atom, V 33.31 A^3/atom. Number 2: electronic total energy -4.3567 eV/atom, formation energy from the elements 0.164 eV per atom, V 31.53 A^3/atom. Number 3: electronic total energy -4.3595 eV/atom, formation energy from the elements 0.303 eV per atom, V 34.75 A^3/atom. Number 4: electronic total energy -4.0759 eV/atom, formation energy from the elements 0.445 eV per atom, V 33.71 A^3/atom. Number 5: electronic total energy -4.4839 eV/atom, formation energy from the elements 0.026 eV per atom, V 30.46 A^3/atom. Number 6: electronic total energy -4.5981 eV/atom, formation energy from the elements 0.024 eV per atom, V 32.28 A^3/atom. Number 7: electronic total energy -3.4868 eV/atom, formation energy from the elements 1.103 eV per atom, V 42.01 A^3/atom. Number 8: electronic total energy -4.5910 eV/atom, formation energy from the elements 0.079 eV per atom, V 33.69 A^3/atom.